[1]
# TmScCu

Crystalline TmScCu at its relaxed geometry (GGA-PBE, Alexandria). Values from VASP.

Output
The value obtained for the polymorph energy (0 for the lowest one) is 0.048 eV/atom. As for the space-group type: No. 107. The formation energy comes out at -0.139 eV/atom. The total energy is -30.63 eV/cell.

The structure in Quantum ESPRESSO input format:
```
&SYSTEM
  ibrav = 0, nat = 6, ntyp = 3
/
ATOMIC_SPECIES
Tm 168.93 Tm.upf
Sc 44.96 Sc.upf
Cu 63.55 Cu.upf
CELL_PARAMETERS angstrom
3.342 0.000 0.000
0.000 3.342 0.000
0.000 0.000 11.738
ATOMIC_POSITIONS crystal
Tm 0.000 0.000 0.000
Tm 0.500 0.500 0.500
Sc 0.000 0.000 0.281
Sc 0.500 0.500 0.781
Cu 0.000 0.000 0.652
Cu 0.500 0.500 0.152
```



[2]
# Dy3Er2Tl4

Crystalline Dy3Er2Tl4 at its relaxed geometry (GGA-PBE, Alexandria). Values from VASP.

Output
The value obtained for the polymorph energy (0 for the lowest one) is 0.000 eV/atom. As for the space-group type: No. 12. The formation energy comes out at -0.267 eV/atom. The total energy is -34.80 eV/cell.

The structure in Quantum ESPRESSO input format:
```
&SYSTEM
  ibrav = 0, nat = 9, ntyp = 3
/
ATOMIC_SPECIES
Dy 162.50 Dy.upf
Er 167.26 Er.upf
Tl 204.38 Tl.upf
CELL_PARAMETERS angstrom
8.345 -2.417 0.000
8.345 2.417 0.000
-1.805 0.000 6.413
ATOMIC_POSITIONS crystal
Dy 0.000 0.000 0.000
Dy 0.110 0.110 0.585
Dy 0.890 0.890 0.415
Er 0.328 0.328 0.936
Er 0.672 0.672 0.064
Tl 0.252 0.252 0.335
Tl 0.489 0.489 0.716
Tl 0.511 0.511 0.284
Tl 0.748 0.748 0.665
```



[3]
# PmSm8Th2

Crystalline PmSm8Th2 at its relaxed geometry (GGA-PBE, Alexandria). Values from VASP.

Output
As for the space-group type: No. 12. The formation energy comes out at 0.195 eV/atom. The total energy is -55.19 eV/cell.

The structure in Quantum ESPRESSO input format:
```
&SYSTEM
  ibrav = 0, nat = 11, ntyp = 3
/
ATOMIC_SPECIES
Pm 145.00 Pm.upf
Sm 150.36 Sm.upf
Th 232.04 Th.upf
CELL_PARAMETERS angstrom
4.548 -8.215 0.000
4.548 8.215 0.000
-3.349 0.000 5.029
ATOMIC_POSITIONS crystal
Pm 0.000 0.000 0.000
Sm 0.101 0.336 0.679
Sm 0.207 0.793 0.000
Sm 0.336 0.101 0.679
Sm 0.423 0.423 0.207
Sm 0.577 0.577 0.793
Sm 0.664 0.899 0.321
Sm 0.793 0.207 0.000
Sm 0.899 0.664 0.321
Th 0.307 0.693 0.500
Th 0.693 0.307 0.500
```



[4]
# CaY2O2

Crystalline CaY2O2 at its relaxed geometry (GGA-PBE, Alexandria). Values from VASP.

Output
The value obtained for the polymorph energy (0 for the lowest one) is 1.267 eV/atom. As for the space-group type: No. 127. The total energy is -59.84 eV/cell. For the raw formation energy, the calculation gives -1.0149 eV per atom.

The structure in Quantum ESPRESSO input format:
```
&SYSTEM
  ibrav = 0, nat = 10, ntyp = 3
/
ATOMIC_SPECIES
Ca 40.08 Ca.upf
Y 88.91 Y.upf
O 16.00 O.upf
CELL_PARAMETERS angstrom
9.243 0.000 0.000
0.000 9.243 0.000
0.000 0.000 3.099
ATOMIC_POSITIONS crystal
Ca 0.000 0.000 0.000
Ca 0.500 0.500 0.000
Y 0.107 0.393 0.000
Y 0.393 0.893 0.000
Y 0.607 0.107 0.000
Y 0.893 0.607 0.000
O 0.090 0.590 0.500
O 0.410 0.090 0.500
O 0.590 0.910 0.500
O 0.910 0.410 0.500
```



[5]
# Zn2InCl

Crystalline Zn2InCl at its relaxed geometry (GGA-PBE, Alexandria). Values from VASP.

Output
The value obtained for the polymorph energy (0 for the lowest one) is 0.103 eV/atom. As for the space-group type: No. 44. The total energy is -15.05 eV/cell. For the raw formation energy, the calculation gives -0.0975 eV per atom.

The structure in Quantum ESPRESSO input format:
```
&SYSTEM
  ibrav = 0, nat = 8, ntyp = 3
/
ATOMIC_SPECIES
Zn 65.41 Zn.upf
In 114.82 In.upf
Cl 35.45 Cl.upf
CELL_PARAMETERS angstrom
3.242 0.000 0.000
0.000 5.633 0.000
0.000 0.000 9.734
ATOMIC_POSITIONS crystal
Zn 0.000 0.000 0.000
Zn 0.000 0.500 0.288
Zn 0.500 0.000 0.788
Zn 0.500 0.500 0.500
In 0.000 0.000 0.526
In 0.500 0.500 0.026
Cl 0.000 0.500 0.701
Cl 0.500 0.000 0.201
```



[6]
# AgPd4Au4

Crystalline AgPd4Au4 at its relaxed geometry (GGA-PBE, Alexandria). Values from VASP.

Output
The value obtained for the polymorph energy (0 for the lowest one) is 0.000 eV/atom. As for the space-group type: No. 139. The formation energy comes out at -0.075 eV/atom. The total energy is -37.41 eV/cell.

The structure in Quantum ESPRESSO input format:
```
&SYSTEM
  ibrav = 0, nat = 9, ntyp = 3
/
ATOMIC_SPECIES
Ag 107.87 Ag.upf
Pd 106.42 Pd.upf
Au 196.97 Au.upf
CELL_PARAMETERS angstrom
-4.313 4.313 2.028
4.313 -4.313 2.028
4.313 4.313 -2.028
ATOMIC_POSITIONS crystal
Ag 0.000 0.000 0.000
Pd 0.000 0.337 0.337
Pd 0.000 0.663 0.663
Pd 0.337 0.000 0.337
Pd 0.663 0.000 0.663
Au 0.332 0.332 0.664
Au 0.332 0.668 0.000
Au 0.668 0.332 0.000
Au 0.668 0.668 0.336
```